Entry 1:
A crystal of ZrAl2Hg relaxed with PBEsol. Source: the Alexandria database, functional meta-GGA SCAN.

Properties
E_tot = -28.90 eV per atom
formation energy = -0.3050 eV per atom
theoretical density = 7.57 g cm⁻³
DOS(E_F) = 2.193 states/eV/cell
symmetry = Pmm2, No. 25
total magnetic moment = 0.00 μB/cell

Geometry as CIF:
```
data_ZrAl2Hg
_chemical_formula_sum 'Zr1 Al2 Hg1'
_cell_length_a 3.0390
_cell_length_b 4.5386
_cell_length_c 5.4974
_cell_angle_alpha 90.00
_cell_angle_beta 90.00
_cell_angle_gamma 90.00
_space_group_name_H-M_alt 'P 1'
_space_group_IT_number 1
_space_group_name_Hall 'P 1'
loop_
_atom_site_label
_atom_site_fract_x
_atom_site_fract_y
_atom_site_fract_z
_atom_site_occupancy
Zr1 0.0000 0.0000 0.0000 1
Al1 0.5000 0.0000 0.5257 1
Al2 0.5000 0.5000 0.7811 1
Hg1 0.5000 0.5000 0.2655 1
```

Entry 2:
A crystal of Zr2MnCu relaxed with PBEsol. Source: the Alexandria database, functional meta-GGA SCAN.

Properties
E_tot = -23.87 eV per atom
formation energy = -0.1585 eV per atom
theoretical density = 7.73 g cm⁻³
DOS(E_F) = 3.491 states/eV/cell
energy relative to the lowest polymorph listed for this composition = 0.000 eV/atom
symmetry = P4/mmm, No. 123
total magnetic moment = 0.00 μB/cell

Geometry as CIF:
```
data_Zr2MnCu
_chemical_formula_sum 'Zr2 Mn1 Cu1'
_cell_length_a 3.1807
_cell_length_b 3.1807
_cell_length_c 6.3918
_cell_angle_alpha 90.00
_cell_angle_beta 90.00
_cell_angle_gamma 90.00
_space_group_name_H-M_alt 'P 1'
_space_group_IT_number 1
_space_group_name_Hall 'P 1'
loop_
_atom_site_label
_atom_site_fract_x
_atom_site_fract_y
_atom_site_fract_z
_atom_site_occupancy
Zr1 0.0000 0.0000 0.2377 1
Zr2 0.0000 0.0000 0.7623 1
Mn1 0.5000 0.5000 0.0000 1
Cu1 0.5000 0.5000 0.5000 1
```

Entry 3:
A crystal of CdCu relaxed with PBEsol. Source: the Alexandria database, functional meta-GGA SCAN.

Properties
E_tot = -22.74 eV per atom
formation energy = 0.0636 eV per atom
theoretical density = 9.42 g cm⁻³
DOS(E_F) = 0.960 states/eV/cell
symmetry = P2_1/m, No. 11
total magnetic moment = 0.00 μB/cell

Geometry as CIF:
```
data_CdCu
_chemical_formula_sum 'Cd2 Cu2'
_cell_length_a 2.8250
_cell_length_b 4.2344
_cell_length_c 5.3611
_cell_angle_alpha 90.00
_cell_angle_beta 104.75
_cell_angle_gamma 90.00
_space_group_name_H-M_alt 'P 1'
_space_group_IT_number 1
_space_group_name_Hall 'P 1'
loop_
_atom_site_label
_atom_site_fract_x
_atom_site_fract_y
_atom_site_fract_z
_atom_site_occupancy
Cd1 0.1627 0.2500 0.3310 1
Cd2 0.8373 0.7500 0.6690 1
Cu1 0.4372 0.2500 0.8732 1
Cu2 0.5628 0.7500 0.1268 1
```

Entry 4:
A crystal of Cu3Ni relaxed with PBEsol. Source: the Alexandria database, functional meta-GGA SCAN.

Properties
E_tot = -15.40 eV per atom
formation energy = 0.0475 eV per atom
theoretical density = 9.42 g cm⁻³
DOS(E_F) = 2.078 states/eV/cell
symmetry = Imm2, No. 44
total magnetic moment = 0.00 μB/cell

Geometry as CIF:
```
data_Cu3Ni
_chemical_formula_sum 'Cu3 Ni1'
_cell_length_a 4.7977
_cell_length_b 4.7977
_cell_length_c 4.7977
_cell_angle_alpha 149.97
_cell_angle_beta 62.48
_cell_angle_gamma 126.60
_space_group_name_H-M_alt 'P 1'
_space_group_IT_number 1
_space_group_name_Hall 'P 1'
loop_
_atom_site_label
_atom_site_fract_x
_atom_site_fract_y
_atom_site_fract_z
_atom_site_occupancy
Cu1 0.0000 0.0000 0.0000 1
Cu2 0.0857 0.3342 0.7515 1
Cu3 0.5827 0.3342 0.2485 1
Ni1 0.5010 0.0010 0.5000 1
```

Entry 5:
A crystal of LiAlAg relaxed with PBEsol. Source: the Alexandria database, functional meta-GGA SCAN.

Properties
E_tot = -13.65 eV per atom
formation energy = 0.1870 eV per atom
theoretical density = 4.62 g cm⁻³
DOS(E_F) = 1.297 states/eV/cell
energy relative to the lowest polymorph listed for this composition = 0.417 eV/atom
symmetry = F-43m, No. 216
total magnetic moment = 0.00 μB/cell

Geometry as CIF:
```
data_LiAlAg
_chemical_formula_sum 'Li1 Al1 Ag1'
_cell_length_a 4.1630
_cell_length_b 4.1630
_cell_length_c 4.1630
_cell_angle_alpha 60.00
_cell_angle_beta 60.00
_cell_angle_gamma 60.00
_space_group_name_H-M_alt 'P 1'
_space_group_IT_number 1
_space_group_name_Hall 'P 1'
loop_
_atom_site_label
_atom_site_fract_x
_atom_site_fract_y
_atom_site_fract_z
_atom_site_occupancy
Li1 0.0000 0.0000 0.0000 1
Al1 0.2500 0.2500 0.2500 1
Ag1 0.7500 0.7500 0.7500 1
```

Entry 6:
A crystal of Zn2NiPb relaxed with PBEsol. Source: the Alexandria database, functional meta-GGA SCAN.

Properties
E_tot = -29.55 eV per atom
formation energy = 0.1958 eV per atom
theoretical density = 9.76 g cm⁻³
DOS(E_F) = 1.701 states/eV/cell
symmetry = C2/m, No. 12
total magnetic moment = 0.00 μB/cell

Geometry as CIF:
```
data_Zn2NiPb
_chemical_formula_sum 'Zn2 Ni1 Pb1'
_cell_length_a 4.5536
_cell_length_b 4.5536
_cell_length_c 4.7505
_cell_angle_alpha 103.28
_cell_angle_beta 103.28
_cell_angle_gamma 45.04
_space_group_name_H-M_alt 'P 1'
_space_group_IT_number 1
_space_group_name_Hall 'P 1'
loop_
_atom_site_label
_atom_site_fract_x
_atom_site_fract_y
_atom_site_fract_z
_atom_site_occupancy
Zn1 0.2241 0.2241 0.1664 1
Zn2 0.7759 0.7759 0.8336 1
Ni1 0.5000 0.5000 0.0000 1
Pb1 0.0000 0.0000 0.5000 1
```

Entry 7:
A crystal of Sb3Cl9OF4 relaxed with PBEsol. Source: the Alexandria database, functional meta-GGA SCAN.

Properties
E_tot = -13.25 eV per atom
theoretical density = 2.88 g cm⁻³
DOS(E_F) = 0.000 states/eV/cell
symmetry = P-1, No. 2
total magnetic moment = 0.00 μB/cell

Geometry as CIF:
```
data_Sb3Cl9OF4
_chemical_formula_sum 'Sb6 Cl18 O2 F8'
_cell_length_a 7.0273
_cell_length_b 9.7941
_cell_length_c 13.4161
_cell_angle_alpha 90.59
_cell_angle_beta 94.49
_cell_angle_gamma 103.23
_space_group_name_H-M_alt 'P 1'
_space_group_IT_number 1
_space_group_name_Hall 'P 1'
loop_
_atom_site_label
_atom_site_fract_x
_atom_site_fract_y
_atom_site_fract_z
_atom_site_occupancy
Sb1 0.0959 0.1419 0.3090 1
Sb2 0.2971 0.5607 0.2900 1
Sb3 0.3053 0.2347 0.1059 1
Sb4 0.6947 0.7653 0.8941 1
Sb5 0.7029 0.4393 0.7100 1
Sb6 0.9041 0.8581 0.6910 1
Cl1 0.0069 0.9059 0.2657 1
Cl2 0.1604 0.3239 0.9693 1
Cl3 0.2119 0.6549 0.4337 1
Cl4 0.2143 0.8385 0.6582 1
Cl5 0.2420 0.1337 0.4677 1
Cl6 0.2563 0.0088 0.0401 1
Cl7 0.3671 0.6886 0.9162 1
Cl8 0.4145 0.4904 0.6433 1
Cl9 0.4446 0.7607 0.2100 1
Cl10 0.5554 0.2394 0.7900 1
Cl11 0.5855 0.5096 0.3567 1
Cl12 0.6329 0.3114 0.0838 1
Cl13 0.7437 0.9912 0.9599 1
Cl14 0.7580 0.8663 0.5323 1
Cl15 0.7857 0.1615 0.3418 1
Cl16 0.7881 0.3451 0.5663 1
Cl17 0.8396 0.6761 0.0307 1
Cl18 0.9931 0.0941 0.7343 1
O1 0.3452 0.1876 0.2466 1
O2 0.6548 0.8124 0.7534 1
F1 0.0213 0.1972 0.1606 1
F2 0.0485 0.5550 0.2210 1
F3 0.1541 0.3651 0.3337 1
F4 0.3230 0.4412 0.1662 1
F5 0.6770 0.5588 0.8338 1
F6 0.8459 0.6349 0.6663 1
F7 0.9515 0.4450 0.7790 1
F8 0.9787 0.8028 0.8394 1
```

Entry 8:
A crystal of CuHgRh2 relaxed with PBEsol. Source: the Alexandria database, functional meta-GGA SCAN.

Properties
E_tot = -37.57 eV per atom
formation energy = 0.1535 eV per atom
theoretical density = 13.38 g cm⁻³
DOS(E_F) = 3.804 states/eV/cell
symmetry = P4mm, No. 99
total magnetic moment = 0.01 μB/cell

Geometry as CIF:
```
data_CuHgRh2
_chemical_formula_sum 'Cu1 Hg1 Rh2'
_cell_length_a 2.7958
_cell_length_b 2.7958
_cell_length_c 7.4600
_cell_angle_alpha 90.00
_cell_angle_beta 90.00
_cell_angle_gamma 90.00
_space_group_name_H-M_alt 'P 1'
_space_group_IT_number 1
_space_group_name_Hall 'P 1'
loop_
_atom_site_label
_atom_site_fract_x
_atom_site_fract_y
_atom_site_fract_z
_atom_site_occupancy
Cu1 0.0000 0.0000 0.0000 1
Hg1 0.5000 0.5000 0.2624 1
Rh1 0.0000 0.0000 0.5434 1
Rh2 0.5000 0.5000 0.7726 1
```

Entry 9:
A crystal of LaAlPb relaxed with PBEsol. Source: the Alexandria database, functional meta-GGA SCAN.

Properties
E_tot = -42.59 eV per atom
formation energy = -0.3775 eV per atom
theoretical density = 7.87 g cm⁻³
DOS(E_F) = 1.668 states/eV/cell
symmetry = Imm2, No. 44
total magnetic moment = 0.00 μB/cell

Geometry as CIF:
```
data_LaAlPb
_chemical_formula_sum 'La1 Al1 Pb1'
_cell_length_a 6.3377
_cell_length_b 6.3377
_cell_length_c 6.3377
_cell_angle_alpha 148.60
_cell_angle_beta 143.41
_cell_angle_gamma 48.97
_space_group_name_H-M_alt 'P 1'
_space_group_IT_number 1
_space_group_name_Hall 'P 1'
loop_
_atom_site_label
_atom_site_fract_x
_atom_site_fract_y
_atom_site_fract_z
_atom_site_occupancy
La1 0.0000 0.0000 0.0000 1
Al1 0.6772 0.6772 0.0000 1
Pb1 0.3003 0.3003 0.0000 1
```

Entry 10:
A crystal of Cd2NiSnMo relaxed with PBEsol. Source: the Alexandria database, functional meta-GGA SCAN.

Properties
E_tot = -28.39 eV per atom
formation energy = 1.1739 eV per atom
theoretical density = 6.89 g cm⁻³
DOS(E_F) = 4.111 states/eV/cell
symmetry = P4/mmm, No. 123
total magnetic moment = 0.00 μB/cell

Geometry as CIF:
```
data_Cd2NiSnMo
_chemical_formula_sum 'Cd2 Ni1 Sn1 Mo1'
_cell_length_a 5.2436
_cell_length_b 5.2436
_cell_length_c 4.3689
_cell_angle_alpha 90.00
_cell_angle_beta 90.00
_cell_angle_gamma 90.00
_space_group_name_H-M_alt 'P 1'
_space_group_IT_number 1
_space_group_name_Hall 'P 1'
loop_
_atom_site_label
_atom_site_fract_x
_atom_site_fract_y
_atom_site_fract_z
_atom_site_occupancy
Cd1 0.0000 0.5000 0.0000 1
Cd2 0.5000 0.0000 0.0000 1
Ni1 0.0000 0.0000 0.5000 1
Sn1 0.5000 0.5000 0.5000 1
Mo1 0.0000 0.0000 0.0000 1
```

Entry 11:
A crystal of LiNiOsRu2 relaxed with PBEsol. Source: the Alexandria database, functional meta-GGA SCAN.

Properties
E_tot = -30.66 eV per atom
formation energy = 1.3567 eV per atom
theoretical density = 10.85 g cm⁻³
DOS(E_F) = 3.908 states/eV/cell
symmetry = P4/mmm, No. 123
total magnetic moment = 4.85 μB/cell

Geometry as CIF:
```
data_LiNiOsRu2
_chemical_formula_sum 'Li1 Ni1 Os1 Ru2'
_cell_length_a 4.3465
_cell_length_b 4.3465
_cell_length_c 3.7118
_cell_angle_alpha 90.00
_cell_angle_beta 90.00
_cell_angle_gamma 90.00
_space_group_name_H-M_alt 'P 1'
_space_group_IT_number 1
_space_group_name_Hall 'P 1'
loop_
_atom_site_label
_atom_site_fract_x
_atom_site_fract_y
_atom_site_fract_z
_atom_site_occupancy
Li1 0.0000 0.0000 0.0000 1
Ni1 0.0000 0.0000 0.5000 1
Os1 0.5000 0.5000 0.0000 1
Ru1 0.0000 0.5000 0.5000 1
Ru2 0.5000 0.0000 0.5000 1
```

Entry 12:
A crystal of CrPb3N relaxed with PBEsol. Source: the Alexandria database, functional meta-GGA SCAN.

Properties
E_tot = -49.94 eV per atom
theoretical density = 8.71 g cm⁻³
DOS(E_F) = 1.928 states/eV/cell
energy relative to the lowest polymorph listed for this composition = 0.280 eV/atom
symmetry = Pm-3m, No. 221
total magnetic moment = 2.99 μB/cell

Geometry as CIF:
```
data_CrPb3N
_chemical_formula_sum 'Cr1 Pb3 N1'
_cell_length_a 5.0794
_cell_length_b 5.0794
_cell_length_c 5.0794
_cell_angle_alpha 90.00
_cell_angle_beta 90.00
_cell_angle_gamma 90.00
_space_group_name_H-M_alt 'P 1'
_space_group_IT_number 1
_space_group_name_Hall 'P 1'
loop_
_atom_site_label
_atom_site_fract_x
_atom_site_fract_y
_atom_site_fract_z
_atom_site_occupancy
Cr1 0.0000 0.0000 0.0000 1
Pb1 0.0000 0.0000 0.5000 1
Pb2 0.0000 0.5000 0.0000 1
Pb3 0.5000 0.0000 0.0000 1
N1 0.5000 0.5000 0.5000 1
```